#a
AcLaH: optimized geometry, PBE.

```
AcLaH
1.0
3.6498 0.0000 0.0000
0.0000 3.6498 0.0000
0.0000 0.0000 13.1661
Ac La H
2 2 2
Direct
0.0000 0.0000 0.0000
0.5000 0.5000 0.5000
0.0000 0.0000 0.7147
0.5000 0.5000 0.2147
0.0000 0.0000 0.1909
0.5000 0.5000 0.6909
```

Properties
Its density of states at the Fermi level is 1.218 states/eV per atom.

=====

#b
AcLaH: optimized geometry, PBE.

```
AcLaH
1.0
3.7420 0.0000 0.0000
0.0000 3.7420 0.0000
0.0000 0.0000 48.7860
Ac La H
8 8 8
Direct
0.2386 0.2584 0.2121
0.2386 0.7416 0.2879
0.2584 0.2386 0.5379
0.2584 0.7614 0.9621
0.7416 0.2386 0.4621
0.7416 0.7614 0.0379
0.7614 0.2584 0.7879
0.7614 0.7416 0.7121
0.2396 0.2615 0.0945
0.2396 0.7385 0.4055
0.2615 0.2396 0.6555
0.2615 0.7604 0.8445
0.7385 0.2396 0.3445
0.7385 0.7604 0.1555
0.7604 0.2615 0.9055
0.7604 0.7385 0.5945
0.2410 0.2614 0.0455
0.2410 0.7386 0.4545
0.2614 0.2410 0.7045
0.2614 0.7590 0.7955
0.7386 0.2410 0.2955
0.7386 0.7590 0.2045
0.7590 0.2614 0.9545
0.7590 0.7386 0.5455
```

Properties
Its density of states at the Fermi level is 0.827 states/eV per atom.

=====

Verdict on stability: #a comes out at the bottom.

=====

#a
Ac2LaH: optimized geometry, PBE.

```
Ac2LaH
1.0
3.9401 0.0000 0.0000
-1.9700 3.4122 0.0000
0.0000 0.0000 28.3085
Ac La H
6 3 3
Direct
0.0000 0.0000 0.0000
0.0000 0.0000 0.2225
0.3333 0.6667 0.6667
0.3333 0.6667 0.8892
0.6667 0.3333 0.3333
0.6667 0.3333 0.5558
0.0000 0.0000 0.4463
0.3333 0.6667 0.1129
0.6667 0.3333 0.7796
0.0000 0.0000 0.6129
0.3333 0.6667 0.2796
0.6667 0.3333 0.9462
```

Properties
Its density of states at the Fermi level is 1.179 states/eV per atom.

=====

#b
Ac2LaH: optimized geometry, PBE.

```
Ac2LaH
1.0
3.7143 0.0000 0.0000
0.0000 3.7143 0.0000
0.0000 0.0000 9.3140
Ac La H
2 1 1
Direct
0.0000 0.0000 0.1933
0.0000 0.0000 0.8067
0.5000 0.5000 0.5000
0.5000 0.5000 0.0000
```

Properties
Its density of states at the Fermi level is 1.107 states/eV per atom.

=====

Verdict on stability: #b comes out at the bottom.

=====

#a
Li2AcH6: optimized geometry, PBE.

```
Li2AcH6
1.0
4.6594 0.0000 0.0000
-2.3297 4.0351 0.0000
0.0000 0.0000 4.7839
Li Ac H
2 1 6
Direct
0.3333 0.6667 0.0000
0.6667 0.3333 0.0000
0.0000 0.0000 0.5000
0.0000 0.5000 0.2621
0.0000 0.5000 0.7379
0.5000 0.0000 0.2621
0.5000 0.0000 0.7379
0.5000 0.5000 0.2621
0.5000 0.5000 0.7379
```

Properties
Its density of states at the Fermi level is 0.312 states/eV per atom.

=====

#b
Li2AcH6: optimized geometry, PBE.

```
Li2AcH6
1.0
0.0000 4.0622 4.0622
4.0622 0.0000 4.0622
4.0622 4.0622 0.0000
Li Ac H
2 1 6
Direct
0.2500 0.2500 0.2500
0.7500 0.7500 0.7500
0.0000 0.0000 0.0000
0.2902 0.2902 0.7098
0.2902 0.7098 0.2902
0.2902 0.7098 0.7098
0.7098 0.2902 0.2902
0.7098 0.2902 0.7098
0.7098 0.7098 0.2902
```

Properties
Its density of states at the Fermi level is 0.284 states/eV per atom.

=====

Verdict on stability: #b comes out at the bottom.

=====

#a
LiAcH: optimized geometry, PBE.

```
LiAcH
1.0
3.7722 0.0000 0.0000
-1.8861 3.2668 0.0000
0.0000 0.0000 5.9272
Li Ac H
1 1 1
Direct
0.0000 0.0000 0.0000
0.6667 0.3333 0.5257
0.3333 0.6667 0.7376
```

Properties
Its density of states at the Fermi level is 0.877 states/eV per atom.

=====

#b
LiAcH: optimized geometry, PBE.

```
LiAcH
1.0
10.0501 0.0000 0.0000
0.0000 4.1145 0.0000
0.0000 0.0000 6.8782
Li Ac H
4 4 4
Direct
0.0176 0.2500 0.1356
0.4824 0.7500 0.6356
0.5176 0.2500 0.3644
0.9824 0.7500 0.8644
0.1725 0.2500 0.5815
0.3275 0.7500 0.0815
0.6725 0.2500 0.9185
0.8275 0.7500 0.4185
0.0372 0.7500 0.6060
0.4628 0.2500 0.1060
0.5372 0.7500 0.8940
0.9628 0.2500 0.3940
```

Properties
Its density of states at the Fermi level is 0.796 states/eV per atom.

=====

Verdict on stability: #a comes out at the bottom.

=====

#a
AcLuH: optimized geometry, PBE.

```
AcLuH
1.0
3.7389 0.0000 0.0000
-1.8695 3.2380 0.0000
0.0000 0.0000 6.0104
Ac Lu H
1 1 1
Direct
0.0000 0.0000 0.0000
0.6667 0.3333 0.5115
0.3333 0.6667 0.7051
```

Properties
Its density of states at the Fermi level is 0.909 states/eV per atom.

=====

#b
AcLuH: optimized geometry, PBE.

```
AcLuH
1.0
3.6264 0.0000 0.0000
0.0000 3.6264 0.0000
0.0000 0.0000 12.4033
Ac Lu H
2 2 2
Direct
0.0000 0.0000 0.0000
0.5000 0.5000 0.5000
0.0000 0.0000 0.2932
0.5000 0.5000 0.7932
0.0000 0.0000 0.4684
0.5000 0.5000 0.9684
```

Properties
Its density of states at the Fermi level is 0.740 states/eV per atom.

=====

Verdict on stability: #b comes out at the bottom.

=====

#a
AcMn2H8: optimized geometry, PBE.

```
AcMn2H8
1.0
2.5194 -4.1826 0.0000
2.5194 4.1826 0.0000
0.0000 0.0000 3.9907
Ac Mn H
1 2 8
Direct
0.0000 0.0000 0.0000
0.3282 0.6718 0.5000
0.6718 0.3282 0.5000
0.0223 0.3220 0.5000
0.3136 0.6864 0.0000
0.3220 0.0223 0.5000
0.5000 0.5000 0.2715
0.5000 0.5000 0.7285
0.6780 0.9777 0.5000
0.6864 0.3136 0.0000
0.9777 0.6780 0.5000
```

Properties
Its density of states at the Fermi level is 0.277 states/eV per atom.

=====

#b
AcMn2H8: optimized geometry, PBE.

```
AcMn2H8
1.0
-1.9936 1.9936 5.7829
1.9936 -1.9936 5.7829
1.9936 1.9936 -5.7829
Ac Mn H
1 2 8
Direct
0.0000 0.0000 0.0000
0.2500 0.7500 0.5000
0.7500 0.2500 0.5000
0.1045 0.1045 0.5411
0.1045 0.5634 0.0000
0.4366 0.4366 0.5411
0.4366 0.8955 0.0000
0.5634 0.1045 0.0000
0.5634 0.5634 0.4589
0.8955 0.4366 0.0000
0.8955 0.8955 0.4589
```

Properties
Its density of states at the Fermi level is 0.316 states/eV per atom.

=====

Verdict on stability: #b comes out at the bottom.

=====

#a
Ac2HN: optimized geometry, PBE.

```
Ac2HN
1.0
3.3988 0.0000 0.0000
0.0000 3.3988 0.0000
0.0000 0.0000 6.7855
Ac H N
2 1 1
Direct
0.0000 0.0000 0.2320
0.0000 0.0000 0.7680
0.5000 0.5000 0.5000
0.5000 0.5000 0.0000
```

Properties
Its density of states at the Fermi level is 0.868 states/eV per atom.

=====

#b
Ac2HN: optimized geometry, PBE.

```
Ac2HN
1.0
3.8547 0.0000 0.0000
-1.9274 3.3383 0.0000
0.0000 0.0000 19.5078
Ac H N
6 3 3
Direct
0.0000 0.0000 0.2433
0.0000 0.0000 0.7567
0.3333 0.6667 0.4234
0.3333 0.6667 0.9099
0.6667 0.3333 0.0901
0.6667 0.3333 0.5766
0.0000 0.0000 0.0000
0.3333 0.6667 0.6667
0.6667 0.3333 0.3333
0.0000 0.0000 0.5000
0.3333 0.6667 0.1667
0.6667 0.3333 0.8333
```

Properties
Its density of states at the Fermi level is 0.486 states/eV per atom.

=====

#c
Ac2HN: optimized geometry, PBE.

```
Ac2HN
1.0
3.8153 0.0000 0.0000
-1.9077 3.3042 0.0000
0.0000 0.0000 20.1941
Ac H N
6 3 3
Direct
0.0000 0.0000 0.0000
0.0000 0.0000 0.1825
0.3333 0.6667 0.6667
0.3333 0.6667 0.8492
0.6667 0.3333 0.3333
0.6667 0.3333 0.5159
0.0000 0.0000 0.4175
0.3333 0.6667 0.0842
0.6667 0.3333 0.7508
0.0000 0.0000 0.5847
0.3333 0.6667 0.2514
0.6667 0.3333 0.9180
```

Properties
Its density of states at the Fermi level is 0.324 states/eV per atom.

=====

#d
Ac2HN: optimized geometry, PBE.

```
Ac2HN
1.0
3.8613 -7.6728 0.0000
3.8613 7.6728 0.0000
-3.6803 0.0000 5.6656
Ac H N
8 4 4
Direct
0.0517 0.4268 0.7256
0.1664 0.2922 0.2256
0.2922 0.1664 0.7256
0.4268 0.0517 0.2256
0.5732 0.9483 0.7744
0.7078 0.8336 0.2744
0.8336 0.7078 0.7744
0.9483 0.5732 0.2744
0.3068 0.6932 0.2500
0.4317 0.5683 0.7500
0.5683 0.4317 0.2500
0.6932 0.3068 0.7500
0.0588 0.9412 0.2500
0.1818 0.8182 0.7500
0.8182 0.1818 0.2500
0.9412 0.0588 0.7500
```

Properties
Its density of states at the Fermi level is 0.565 states/eV per atom.

=====

Verdict on stability: #a comes out at the bottom.

=====

#a
Ac4HN3: optimized geometry, PBE.

```
Ac4HN3
1.0
7.8739 0.0000 0.0000
0.0000 10.8926 0.0000
0.0000 0.0000 3.8857
Ac H N
8 2 6
Direct
0.0000 0.2472 0.0000
0.0000 0.7528 0.0000
0.2358 0.0000 0.5000
0.2642 0.5000 0.5000
0.5000 0.2528 0.0000
0.5000 0.7472 0.0000
0.7358 0.5000 0.5000
0.7642 0.0000 0.5000
0.0000 0.5000 0.0000
0.5000 0.0000 0.0000
0.0000 0.0000 0.0000
0.2500 0.2500 0.5000
0.2500 0.7500 0.5000
0.5000 0.5000 0.0000
0.7500 0.2500 0.5000
0.7500 0.7500 0.5000
```

Properties
Its density of states at the Fermi level is 0.373 states/eV per atom.

=====

#b
Ac4HN3: optimized geometry, PBE.

```
Ac4HN3
1.0
5.5008 0.0000 0.0000
0.0000 5.5008 0.0000
0.0000 0.0000 5.5008
Ac H N
4 1 3
Direct
0.0000 0.0000 0.0000
0.0000 0.5000 0.5000
0.5000 0.0000 0.5000
0.5000 0.5000 0.0000
0.5000 0.5000 0.5000
0.0000 0.0000 0.5000
0.0000 0.5000 0.0000
0.5000 0.0000 0.0000
```

Properties
Its density of states at the Fermi level is 0.595 states/eV per atom.

=====

Verdict on stability: #b comes out at the bottom.